# Cr2C PBE optimized geometry
# magnetic moment: 0.36 μB per cell
# density of states at the Fermi level: 6.37 states/eV per cell
# V: 54.76 Å³/cell
# E: -0.3266 Ha/atom
# energy of formation: 1.81 eV per formula unit
data_Cr2C
_space_group_name_H-M_alt 'P 63/m m c'
_space_group_IT_number 194
_space_group_name_Hall '-P 6c 2c'
_cell_length_a 3.7770
_cell_length_b 3.7770
_cell_length_c 4.4320
_cell_angle_alpha 90.00
_cell_angle_beta 90.00
_cell_angle_gamma 120.00
loop_
_atom_site_label
_atom_site_type_symbol
_atom_site_fract_x
_atom_site_fract_y
_atom_site_fract_z
_atom_site_occupancy
Cr1 Cr 0.0000 0.0000 0.0000 1
Cr2 Cr 0.3333 0.6667 0.2500 1
C1 C 0.3333 0.6667 0.7500 1